Below is a relaxed structure of Cs4TlCd3Br12, with properties calculated at the PBE level.

Cell and atoms, written as POSCAR:
```
Cs4TlCd3Br12
1.0
-9.259 -1.042 3.177
1.245 -5.219 -8.254
6.222 -3.245 6.904
Cs Tl Cd Br
4 1 3 12
Direct
0.500 0.500 0.500
0.000 0.000 0.500
0.500 0.000 0.000
0.000 0.500 0.000
0.000 0.000 0.000
0.500 0.000 0.500
0.500 0.500 0.000
0.000 0.500 0.500
0.250 0.500 0.750
0.742 0.000 0.742
0.258 0.000 0.258
0.750 0.500 0.250
0.742 0.742 0.000
0.258 0.258 0.000
0.750 0.250 0.500
0.250 0.750 0.500
0.500 0.250 0.750
0.000 0.742 0.742
0.500 0.750 0.250
0.000 0.258 0.258
```

Properties
The symmetry is Im-3m, No. 229. The calculation puts the total energy at -2.6227 eV per atom. The value obtained for the formation energy from raw total energies is -1.193 eV per atom. The total magnetization comes out at 0.00 μB per cell.

=====

Below is a relaxed structure of As2IrBr, with properties calculated at the PBE level.

Cell and atoms, written as POSCAR:
```
As2IrBr
1.0
2.975 0.011 0.000
-0.008 2.975 0.000
0.000 0.000 9.875
As Ir Br
2 1 1
Direct
0.000 0.000 0.939
0.500 0.500 0.195
0.500 0.500 0.794
0.000 0.000 0.571
```

Properties
The symmetry is P4mm, No. 99. The calculation puts the total energy at -4.4964 eV per atom. The value obtained for the formation energy from raw total energies is 0.462 eV per atom. The total magnetization comes out at 0.00 μB per cell. As for the offset from the most stable computed form: 0.641 eV per atom.

=====

Below is a relaxed structure of RhAuN2, with properties calculated at the PBE level.

Cell and atoms, written as POSCAR:
```
RhAuN2
1.0
4.525 4.583 0.523
6.076 1.980 0.955
5.442 2.931 -1.885
Rh Au N
1 1 2
Direct
0.500 0.500 0.500
0.000 0.000 0.000
0.891 0.891 0.891
0.109 0.109 0.109
```

Properties
The symmetry is R-3m, No. 166. The calculation puts the total energy at -6.0605 eV per atom. The value obtained for the formation energy from raw total energies is 0.759 eV per atom. The total magnetization comes out at 0.00 μB per cell. As for the offset from the most stable computed form: 0.000 eV per atom.

=====

Below is a relaxed structure of Ac2Al2Ge, with properties calculated at the PBE level.

Cell and atoms, written as POSCAR:
```
Ac2Al2Ge
1.0
4.585 0.000 0.000
0.000 4.023 -1.305
0.000 0.236 7.579
Ac Al Ge
2 2 1
Direct
0.000 0.681 0.362
0.000 0.932 0.863
0.500 0.312 0.623
0.500 0.508 0.015
0.500 0.110 0.220
```

Properties
The symmetry is Amm2, No. 38. The calculation puts the total energy at -4.5088 eV per atom. The value obtained for the calculated formation energy is -0.4449 eV/atom. The total magnetization comes out at 0.00 μB per cell. As for the offset from the most stable computed form: 0.000 eV per atom.

=====

Q: Which Fermi-level density of states values were calculated for the entries above? A: 0.1919; 0.9119; 0.8430; 0.5889, in states/eV per atom.